No. 1
First-principles (PBE) data for ScBi2MoC after structural relaxation, as listed in the Alexandria database.

DFT formation energy	0.531	eV per atom
spin magnetization	0.8	μB per formula unit
DOS(E_F)	2.93	states/eV/f.u.
symmetry	P4/mmm (123)

Cell and atoms, written as POSCAR:
```
ScBi2MoC
1.0
5.129 0.000 0.000
0.000 4.058 0.000
0.000 0.000 5.129
Bi C Sc Mo
2 1 1 1
direct
0.000 0.000 0.500 Bi
0.500 0.000 0.000 Bi
0.000 0.000 0.000 C
0.500 0.500 0.500 Sc
0.000 0.500 0.000 Mo
```

=====

No. 2
First-principles (PBE) data for NdSnBi2 after structural relaxation, as listed in the Alexandria database.

DFT formation energy	-0.438	eV per atom
spin magnetization	0.0	μB per formula unit
DOS(E_F)	2.26	states/eV/f.u.
E above lowest polymorph	19	meV/atom
symmetry	P4/mmm (123)

Cell and atoms, written as POSCAR:
```
NdSnBi2
1.0
4.798 0.000 0.000
0.000 5.008 0.000
0.000 0.000 5.008
Bi Sn Nd
2 1 1
direct
0.000 0.500 0.000 Bi
0.000 0.000 0.500 Bi
0.500 0.500 0.500 Sn
0.500 0.000 0.000 Nd
```

=====

No. 3
First-principles (PBE) data for CsMgPC after structural relaxation, as listed in the Alexandria database.

DFT formation energy	0.299	eV per atom
spin magnetization	0.0	μB per formula unit
DOS(E_F)	1.41	states/eV/f.u.
E above lowest polymorph	43	meV/atom
symmetry	R3m (160)

Cell and atoms, written as POSCAR:
```
CsMgPC
1.0
3.908 0.000 0.000
-1.954 3.385 0.000
0.000 0.000 22.804
Mg Cs C P
3 3 3 3
direct
0.667 0.333 0.356 Mg
0.333 0.667 0.690 Mg
0.000 0.000 0.023 Mg
0.333 0.667 0.878 Cs
0.667 0.333 0.545 Cs
0.000 0.000 0.212 Cs
0.333 0.667 0.016 C
0.000 0.000 0.349 C
0.667 0.333 0.683 C
0.333 0.667 0.092 P
0.667 0.333 0.759 P
0.000 0.000 0.425 P
```